Record 1
Here is a geometry-optimized Mg2FeMoO6 structure from the Alexandria database. Energies are from GGA+U.

Lattice parameters (Å, degrees): 5.218 5.244 5.555 61.95 62.86 59.72
Positions (direct):
Mg  0.522  0.521  0.437
Mg  0.023  0.024  0.933
Fe  0.807  0.807  0.577
Mo  0.318  0.319  0.048
O  0.589  0.216  0.249
O  0.231  0.950  0.239
O  0.948  0.582  0.241
O  0.407  0.701  0.769
O  0.699  0.126  0.763
O  0.118  0.415  0.759

Properties
magnetization: 4.00 μB per formula unit
space group: P1 (1)
total energy: -65.8 eV per cell

Record 2
Here is a geometry-optimized Sr10Mg4FeMo5O30 structure from the Alexandria database. Energies are from GGA+U.

Lattice parameters (Å, degrees): 8.063 9.775 9.775 80.20 65.64 65.64
Positions (direct):
Sr  0.750  0.500  0.500
Sr  0.348  0.099  0.702
Sr  0.951  0.702  0.901
Sr  0.553  0.298  0.099
Sr  0.148  0.901  0.298
Sr  0.049  0.298  0.099
Sr  0.652  0.901  0.298
Sr  0.250  0.500  0.500
Sr  0.852  0.099  0.702
Sr  0.447  0.702  0.901
Mg  0.101  0.600  0.199
Mg  0.700  0.199  0.400
Mg  0.300  0.801  0.600
Mg  0.899  0.400  0.801
Fe  0.500  0.000  0.000
Mo  0.599  0.600  0.202
Mo  0.199  0.202  0.400
Mo  0.801  0.798  0.600
Mo  0.401  0.400  0.798
Mo  0.000  0.000  0.000
O  0.958  0.201  0.400
O  0.559  0.799  0.600
O  0.159  0.400  0.799
O  0.750  0.000  0.000
O  0.358  0.600  0.201
O  0.841  0.600  0.201
O  0.441  0.201  0.400
O  0.042  0.799  0.600
O  0.642  0.400  0.799
O  0.250  0.000  0.000
O  0.026  0.820  0.128
O  0.623  0.424  0.330
O  0.226  0.023  0.526
O  0.823  0.624  0.730
O  0.425  0.220  0.929
O  0.974  0.180  0.872
O  0.575  0.780  0.071
O  0.177  0.376  0.270
O  0.774  0.977  0.474
O  0.377  0.576  0.670
O  0.154  0.872  0.820
O  0.751  0.474  0.023
O  0.355  0.071  0.220
O  0.953  0.670  0.424
O  0.553  0.270  0.624
O  0.846  0.128  0.180
O  0.447  0.730  0.376
O  0.047  0.330  0.576
O  0.645  0.929  0.780
O  0.249  0.526  0.977

Properties
magnetization: 4.00 μB per formula unit
space group: I4/m (87)
total energy: -335.2 eV per cell

Repeat the second record exactly.
Here is a geometry-optimized Sr10Mg4FeMo5O30 structure from the Alexandria database. Energies are from GGA+U.

Lattice parameters (Å, degrees): 8.063 9.775 9.775 80.20 65.64 65.64
Positions (direct):
Sr  0.750  0.500  0.500
Sr  0.348  0.099  0.702
Sr  0.951  0.702  0.901
Sr  0.553  0.298  0.099
Sr  0.148  0.901  0.298
Sr  0.049  0.298  0.099
Sr  0.652  0.901  0.298
Sr  0.250  0.500  0.500
Sr  0.852  0.099  0.702
Sr  0.447  0.702  0.901
Mg  0.101  0.600  0.199
Mg  0.700  0.199  0.400
Mg  0.300  0.801  0.600
Mg  0.899  0.400  0.801
Fe  0.500  0.000  0.000
Mo  0.599  0.600  0.202
Mo  0.199  0.202  0.400
Mo  0.801  0.798  0.600
Mo  0.401  0.400  0.798
Mo  0.000  0.000  0.000
O  0.958  0.201  0.400
O  0.559  0.799  0.600
O  0.159  0.400  0.799
O  0.750  0.000  0.000
O  0.358  0.600  0.201
O  0.841  0.600  0.201
O  0.441  0.201  0.400
O  0.042  0.799  0.600
O  0.642  0.400  0.799
O  0.250  0.000  0.000
O  0.026  0.820  0.128
O  0.623  0.424  0.330
O  0.226  0.023  0.526
O  0.823  0.624  0.730
O  0.425  0.220  0.929
O  0.974  0.180  0.872
O  0.575  0.780  0.071
O  0.177  0.376  0.270
O  0.774  0.977  0.474
O  0.377  0.576  0.670
O  0.154  0.872  0.820
O  0.751  0.474  0.023
O  0.355  0.071  0.220
O  0.953  0.670  0.424
O  0.553  0.270  0.624
O  0.846  0.128  0.180
O  0.447  0.730  0.376
O  0.047  0.330  0.576
O  0.645  0.929  0.780
O  0.249  0.526  0.977

Properties
magnetization: 4.00 μB per formula unit
space group: I4/m (87)
total energy: -335.2 eV per cell

Q: Look up the magnetization of the first one.
A: 4.00 μB per formula unit

Q: What is the magnetization in the second record?
A: 4.00 μB per formula unit

Q: Which of these has the highest total energy?
A: Mg2FeMoO6